This record from Alexandria via LeMat-Bulk describes a geometry-optimized MnTl4Br structure. The functional is PBEsol.

Output
- Fermi-level density of states: 3.586 states/eV/cell
- ΔE_f (raw): 398 meV/atom
- Calculated total energy: -19.76 eV per cell
- Calculated density: 9.3 Mg/m³

a b c (Å): 6.2253 6.2253 6.2253
angles (deg): 60.00 60.00 60.00
Closest atoms and distances in Å follow each position.
Element x y z (fractional)
Mn (0.0000, 0.0000, 0.0000)  12 Tl 3.65, 4 Br 3.81
Tl (0.3748, 0.3748, 0.3748)  6 Tl 3.11-3.12
Tl (0.8756, 0.3748, 0.3748)  6 Tl 3.11-3.12
Tl (0.3748, 0.8756, 0.3748)  6 Tl 3.11-3.12
Tl (0.3748, 0.3748, 0.8756)  6 Tl 3.11-3.12
Br (0.7500, 0.7500, 0.7500)  12 Tl 3.65, 4 Mn 3.81

=====

This record from Alexandria via LeMat-Bulk describes a geometry-optimized Sr2Cu2Hg structure. The functional is PBEsol.

Output
- Fermi-level density of states: 5.865 states/eV/cell
- Calculated total energy: -27.29 eV per cell
- Energy relative to the elements: -0.146 eV/atom
- Calculated density: 6.8 Mg/m³

a b c (Å): 4.2075 7.6262 7.6262
angles (deg): 90.00 90.00 90.00
Closest atoms and distances in Å follow each position.
Element x y z (fractional)
Hg (0.0000, 0.0000, 0.0000)  4 Cu 3.08
Hg (0.0000, 0.5000, 0.5000)  4 Cu 3.08
Cu (0.0000, 0.3883, 0.8883)  1 Cu 2.41
Cu (0.0000, 0.8883, 0.6117)  1 Cu 2.41
Cu (0.0000, 0.6117, 0.1117)  1 Cu 2.41
Cu (0.0000, 0.1117, 0.3883)  1 Cu 2.41
Sr (0.5000, 0.6831, 0.8169)  6 Cu 3.05-3.13
Sr (0.5000, 0.3169, 0.1831)  6 Cu 3.05-3.13
Sr (0.5000, 0.1831, 0.6831)  6 Cu 3.05-3.13
Sr (0.5000, 0.8169, 0.3169)  6 Cu 3.05-3.13

=====

This record from Alexandria via LeMat-Bulk describes a geometry-optimized CuMo2Ru structure. The functional is PBEsol.

Output
- Fermi-level density of states: 4.383 states/eV/cell
- Calculated total energy: -37.30 eV per cell
- Energy relative to the elements: 0.185 eV/atom
- Calculated density: 10.7 Mg/m³

a b c (Å): 2.7053 2.7053 7.5947
angles (deg): 90.00 90.00 90.00
Closest atoms and distances in Å follow each position.
Element x y z (fractional)
Mo (0.0000, 0.0000, 0.7500)  4 Ru 2.70, 4 Cu 2.70, 4 Mo 2.71
Mo (0.0000, 0.0000, 0.2500)  4 Ru 2.70, 4 Cu 2.70, 4 Mo 2.71
Cu (0.5000, 0.5000, 0.5000)  8 Mo 2.70, 4 Cu 2.71
Ru (0.5000, 0.5000, 0.0000)  8 Mo 2.70, 4 Ru 2.71

=====

This record from Alexandria via LeMat-Bulk describes a geometry-optimized TlFe2Pt structure. The functional is PBEsol.

Output
- Fermi-level density of states: 3.488 states/eV/cell
- Calculated total energy: -26.53 eV per cell
- Energy relative to the elements: 0.247 eV/atom
- ΔE to the lowest computed polymorph: 37 meV per atom
- Calculated density: 14.3 Mg/m³

a b c (Å): 3.8998 3.9043 3.9043
angles (deg): 90.00 90.00 90.00
Closest atoms and distances in Å follow each position.
Element x y z (fractional)
Fe (0.0000, 0.0000, 0.5000)  4 Tl 2.76, 4 Pt 2.76, 4 Fe 2.76
Fe (0.0000, 0.5000, 0.0000)  4 Tl 2.76, 4 Pt 2.76, 4 Fe 2.76
Tl (0.5000, 0.0000, 0.0000)  8 Fe 2.76, 4 Pt 2.76
Pt (0.5000, 0.5000, 0.5000)  8 Fe 2.76, 4 Tl 2.76